The following is a DFT calculation (PBE) of an optimized crystal structure of Hf2Co3Ni.

The structure in CIF format:
```
data_Hf2Co3Ni
_chemical_formula_sum 'Hf6 Co9 Ni3'
_symmetry_space_group_name_H-M 'R -3 m'
_symmetry_Int_Tables_number 166
_symmetry_space_group_name_Hall '-R 3 2"'
_cell_length_a 4.8719
_cell_length_b 4.8719
_cell_length_c 11.9257
_cell_angle_alpha 90.00
_cell_angle_beta 90.00
_cell_angle_gamma 120.00
loop_
_atom_site_label
_atom_site_fract_x
_atom_site_fract_y
_atom_site_fract_z
Hf1 0.0000 0.0000 0.1240
Co1 0.0000 0.5000 0.0000
Ni1 0.0000 0.0000 0.5000
```

Output
For the calculated density, the calculation gives 12.04 g cm⁻³. The density of states at the Fermi level is 7.4 states/eV/f.u. For the energy of formation, the calculation gives -0.39 eV/atom. The volume is 13.6 Å³/atom. The calculation puts the total magnetization at 0.306 μB/atom.